## Li2DyEr2Mg5 (PBE-GGA)

Data for Li2DyEr2Mg5 after structural relaxation.

V (Å³ per cell): 486.4
Energy of formation from the pure elements (eV/atom): -0.01
VASP energy (eV/atom): -2.56
Size of the total moment (μB per formula unit): 0.00

Cell lengths 10.4959, 10.4959, 4.4155 Å; angles 90.00, 90.00, 90.00 degrees
Last column: nearest neighbours and their distance in Å.
Sites, in units of the cell vectors:
Li (0.1148, 0.3852, 0.0000)  6 Mg 2.79-2.90, 1 Er 3.05
Li (0.3852, 0.8852, 0.0000)  6 Mg 2.79-2.90, 1 Er 3.05
Li (0.6148, 0.1148, 0.0000)  6 Mg 2.79-2.90, 1 Er 3.05
Li (0.8852, 0.6148, 0.0000)  6 Mg 2.79-2.90, 1 Er 3.05
Dy (0.0000, 0.0000, 0.0000)  8 Mg 3.22
Dy (0.5000, 0.5000, 0.0000)  8 Mg 3.22
Er (0.1799, 0.6799, 0.0000)  3 Li 3.05-3.17
Er (0.3201, 0.1799, 0.0000)  3 Li 3.05-3.17
Er (0.6799, 0.8201, 0.0000)  3 Li 3.05-3.17
Er (0.8201, 0.3201, 0.0000)  3 Li 3.05-3.17
Mg (0.0000, 0.5000, 0.5000)  4 Li 2.79, 4 Mg 3.08
Mg (0.0637, 0.2139, 0.5000)  2 Li 2.90, 1 Mg 3.08, 2 Dy 3.22
Mg (0.2139, 0.9363, 0.5000)  2 Li 2.90, 1 Mg 3.08, 2 Dy 3.22
Mg (0.2861, 0.4363, 0.5000)  2 Li 2.90, 1 Mg 3.08, 2 Dy 3.22
Mg (0.4363, 0.7139, 0.5000)  2 Li 2.90, 1 Mg 3.08, 2 Dy 3.22
Mg (0.5000, 0.0000, 0.5000)  4 Li 2.79, 4 Mg 3.08
Mg (0.5637, 0.2861, 0.5000)  2 Li 2.90, 1 Mg 3.08, 2 Dy 3.22
Mg (0.7139, 0.5637, 0.5000)  2 Li 2.90, 1 Mg 3.08, 2 Dy 3.22
Mg (0.7861, 0.0637, 0.5000)  2 Li 2.90, 1 Mg 3.08, 2 Dy 3.22
Mg (0.9363, 0.7861, 0.5000)  2 Li 2.90, 1 Mg 3.08, 2 Dy 3.22